Record 1
# PBE Th3GaOs, optimized geometry
data_Th3GaOs
_space_group_name_H-M_alt 'C m m m'
_space_group_IT_number 65
_space_group_name_Hall '-C 2 2'
_cell_length_a 7.847
_cell_length_b 14.519
_cell_length_c 5.261
_cell_angle_alpha 90.00
_cell_angle_beta 90.00
_cell_angle_gamma 90.00
loop_
_atom_site_label
_atom_site_fract_x
_atom_site_fract_y
_atom_site_fract_z
Th1 0.000 0.131 0.000
Th2 0.190 0.500 0.500
Th3 0.250 0.250 0.500
Ga1 0.000 0.361 0.000
Os1 0.000 0.105 0.500
# * calculated formation energy: -0.10 eV per atom
# * crystal system: orthorhombic
# * total magnetization: 0.000 μB per cell
# * calculated total energy: -7.401 eV/atom



Record 2
# PBE VInS2Cl, optimized geometry
data_VInS2Cl
_space_group_name_H-M_alt 'P 4/m m m'
_space_group_IT_number 123
_space_group_name_Hall '-P 4 2'
_cell_length_a 4.667
_cell_length_b 4.667
_cell_length_c 5.563
_cell_angle_alpha 90.00
_cell_angle_beta 90.00
_cell_angle_gamma 90.00
loop_
_atom_site_label
_atom_site_fract_x
_atom_site_fract_y
_atom_site_fract_z
V1 0.000 0.000 0.000
In1 0.500 0.500 0.500
S1 0.000 0.500 0.000
Cl1 0.000 0.000 0.500
# * energy relative to the elements, uncorrected: -0.502 eV per atom
# * polymorph energy (0 for the lowest one): 0 meV per atom
# * crystal system: tetragonal
# * total magnetization: 1.032 μB per cell
# * calculated total energy: -4.893 eV/atom



Record 3
# PBE Tb3Zn2Cu4, optimized geometry
data_Tb3Zn2Cu4
_space_group_name_H-M_alt 'C 1 2/m 1'
_space_group_IT_number 12
_space_group_name_Hall '-C 2y'
_cell_length_a 10.308
_cell_length_b 4.330
_cell_length_c 8.343
_cell_angle_alpha 90.00
_cell_angle_beta 113.59
_cell_angle_gamma 90.00
loop_
_atom_site_label
_atom_site_fract_x
_atom_site_fract_y
_atom_site_fract_z
Tb1 0.000 0.000 0.000
Tb2 0.148 0.500 0.687
Zn1 0.146 0.500 0.311
Cu1 0.079 0.000 0.412
Cu2 0.226 0.500 0.061
# * calculated formation energy: -0.29 eV per atom
# * crystal system: monoclinic
# * total magnetization: 0.000 μB per cell
# * calculated total energy: -3.941 eV/atom



Record 4
# PBE CaP12Au2, optimized geometry
data_CaP12Au2
_space_group_name_H-M_alt 'P -4 m 2'
_space_group_IT_number 115
_space_group_name_Hall 'P -4 -2'
_cell_length_a 5.715
_cell_length_b 5.715
_cell_length_c 9.063
_cell_angle_alpha 90.00
_cell_angle_beta 90.00
_cell_angle_gamma 90.00
loop_
_atom_site_label
_atom_site_fract_x
_atom_site_fract_y
_atom_site_fract_z
Ca1 0.000 0.000 0.000
P1 0.000 0.500 0.000
P2 0.000 0.500 0.651
P3 0.294 0.299 0.797
Au1 0.000 0.500 0.394
# * calculated formation energy: 0.24 eV per atom
# * crystal system: tetragonal
# * total magnetization: 0.000 μB per cell
# * calculated total energy: -4.660 eV/atom



Q: Among the records above, which one has the lowest calculated total energy?
A: Th3GaOs



Q: Look up the total magnetization of the fourth one.
A: 0.000 μB per cell